VASP calculation (PBE-GGA) on a relaxed Ho6SiSb3 crystal.

Geometry as CIF:
```
data_Ho6SiSb3
_cell_length_a 7.841
_cell_length_b 7.841
_cell_length_c 7.841
_cell_angle_alpha 121.67
_cell_angle_beta 121.67
_cell_angle_gamma 87.13
_symmetry_space_group_name_H-M 'P 1'
_symmetry_Int_Tables_number 1
loop_
_symmetry_equiv_pos_as_xyz
'x,y,z'
loop_
_atom_site_label
_atom_site_type_symbol
_atom_site_fract_x
_atom_site_fract_y
_atom_site_fract_z
Ho1 Ho 0.000 0.328 0.328
Ho2 Ho 0.000 0.672 0.672
Ho3 Ho 0.243 0.243 0.000
Ho4 Ho 0.328 0.000 0.328
Ho5 Ho 0.672 0.000 0.672
Ho6 Ho 0.757 0.757 0.000
Si1 Si 0.000 0.000 0.000
Sb1 Sb 0.250 0.750 0.500
Sb2 Sb 0.500 0.500 0.000
Sb3 Sb 0.750 0.250 0.500
```

Values from the calculation:
Space group: I4/mmm (139)
Total moment (μB per cell): 0.01
Total DFT energy (no corrections) (eV/atom): -4.60